Computed, not measured: a relaxed KHoErCo2 crystal at the PBE level of DFT. Values from VASP.

E: -24.35 eV per cell
SG: Amm2 (38)
magnetization: 0.71 μB/cell

The structure in Quantum ESPRESSO input format:
```
&SYSTEM
  ibrav = 0, nat = 5, ntyp = 4
/
ATOMIC_SPECIES
Ho 164.93 Ho.upf
Co 58.93 Co.upf
K 39.10 K.upf
Er 167.26 Er.upf
CELL_PARAMETERS angstrom
3.8321 0.0000 0.0000
0.0000 1.9483 9.0074
0.0000 -1.9483 9.0074
ATOMIC_POSITIONS crystal
Ho 0.5000 0.3303 0.3303
Co 0.0000 0.2203 0.2203
K 0.0000 0.0006 0.0006
Co 0.0000 0.7788 0.7788
Er 0.5000 0.6699 0.6699
```